SrV3O8 PBE with a Hubbard U relaxed; calculated total energy = -7.3550 eV/atom
1.0
2.527 1.459 7.173
-2.527 1.459 7.173
0.000 -2.918 7.173
Sr V O
1 3 8
direct
0.000 0.000 0.000 Sr
0.241 0.241 0.241 V
0.500 0.500 0.500 V
0.759 0.759 0.759 V
0.129 0.456 0.754 O
0.246 0.871 0.544 O
0.319 0.319 0.319 O
0.456 0.754 0.129 O
0.544 0.246 0.871 O
0.681 0.681 0.681 O
0.754 0.129 0.456 O
0.871 0.544 0.246 O